# Cs2BaFeI6 PBE relaxed
# **ΔE_f (raw)**: -1.117 eV per atom
# **Total moment**: 0.40 μB/atom
# **Energy above the lowest structure with this stoichiometry**: 23 meV per atom
data_Cs2BaFeI6
_space_group_name_H-M_alt 'P 1'
_space_group_IT_number 1
_space_group_name_Hall 'P 1'
_cell_length_a 8.8069
_cell_length_b 8.8069
_cell_length_c 8.8066
_cell_angle_alpha 60.00
_cell_angle_beta 60.00
_cell_angle_gamma 90.00
loop_
_atom_site_label
_atom_site_type_symbol
_atom_site_fract_x
_atom_site_fract_y
_atom_site_fract_z
I1 I 0.7285 0.2715 0.0000
I2 I 0.7285 0.7285 0.0000
I3 I 0.2716 0.2716 0.4569
I4 I 0.7284 0.7284 0.5431
I5 I 0.2715 0.7285 0.0000
I6 I 0.2715 0.2715 0.0000
Fe1 Fe 0.5000 0.5000 0.0000
Cs1 Cs 0.7500 0.2500 0.5000
Cs2 Cs 0.2500 0.7500 0.5000
Ba1 Ba 0.0000 0.0000 0.0000

# CsBaMnFe2 PBE relaxed
# **Total moment**: 1.99 μB/atom
data_CsBaMnFe2
_space_group_name_H-M_alt 'P 1'
_space_group_IT_number 1
_space_group_name_Hall 'P 1'
_cell_length_a 5.3805
_cell_length_b 5.5176
_cell_length_c 5.3805
_cell_angle_alpha 90.00
_cell_angle_beta 90.00
_cell_angle_gamma 90.00
loop_
_atom_site_label
_atom_site_type_symbol
_atom_site_fract_x
_atom_site_fract_y
_atom_site_fract_z
Fe1 Fe 0.0000 0.0000 0.5000
Fe2 Fe 0.5000 0.0000 0.0000
Cs1 Cs 0.5000 0.5000 0.5000
Ba1 Ba 0.0000 0.0000 0.0000
Mn1 Mn 0.0000 0.5000 0.0000

Number 1: calculated total energy -32.57 eV per cell. Number 2: calculated total energy -19.29 eV per cell.